Run one
NdSm6Dy3 | PBE-GGA | optimized geometry

## Properties
N(E_F) = 1.4427 states/eV per atom
Total magnetization = 0.00 Bohr magnetons per cell

Lattice parameters (Å, degrees): 11.0459 19.2330 6.3014 90.00 90.00 90.00
Last column: nearest neighbours and their distance in Å.
Space group Cmc2_1 (No. 36)
Asymmetric unit:
Nd1 0.0000 0.1968 0.0000  6 Sm 3.29-3.58, 3 Dy 3.30-3.63
Sm1 0.0000 0.0387 0.7687  1 Nd 3.37, 2 Sm 3.49, 4 Dy 3.54-3.58
Sm2 0.0000 0.2799 0.5273  4 Sm 3.14-3.51, 1 Nd 3.38, 1 Dy 3.43
Sm3 0.1674 0.4582 0.4297  4 Dy 3.46-3.73, 5 Sm 3.49-3.81
Sm4 0.2379 0.2909 0.2564  3 Sm 3.14-3.51, 1 Nd 3.29, 2 Dy 3.31-3.52
Dy1 0.0000 0.3851 0.9662  7 Sm 3.43-3.73, 1 Nd 3.63, 2 Dy 3.69
Dy2 0.1727 0.1144 0.3464  1 Nd 3.30, 6 Sm 3.31-3.58, 1 Dy 3.69

Run two
NdSm6Dy3 | PBE-GGA | optimized geometry

## Properties
N(E_F) = 1.5084 states/eV per atom
Total magnetization = 0.00 Bohr magnetons per cell

Lattice parameters (Å, degrees): 9.7589 21.3208 6.4623 90.00 90.00 90.00
Last column: nearest neighbours and their distance in Å.
Space group Cmc2_1 (No. 36)
Asymmetric unit:
Nd1 0.0000 0.1582 0.0000  4 Sm 3.33-3.61, 2 Dy 3.55
Sm1 0.0000 0.0144 0.2083  2 Sm 3.29, 1 Nd 3.35, 4 Dy 3.56-3.64
Sm2 0.0000 0.3010 0.2081  1 Dy 3.17, 1 Nd 3.33, 2 Sm 3.51
Sm3 0.1745 0.2819 0.6783  3 Dy 3.33-3.70, 3 Sm 3.41-3.64, 1 Nd 3.61
Sm4 0.1791 0.4408 0.4318  3 Dy 3.36-3.58, 4 Sm 3.50-3.75
Dy1 0.0000 0.4190 0.9105  3 Sm 3.17-3.46, 2 Dy 3.46
Dy2 0.1687 0.1273 0.5236  2 Dy 3.29-3.46, 5 Sm 3.33-3.64, 1 Nd 3.55

Most stable: run two